Entry 1:
First-principles (PBE) data for a relaxed TiVGa2 crystal, as listed in the Alexandria database.

The space group is I-42d (No. 122) and the conventional cell measures 6.955, 6.955 and 5.360 Å, with angles of 90.00, 90.00 and 90.00 degrees. Symmetry generates all atoms from Ti at (0.000, 0.000, 0.000), V at (0.000, 0.000, 0.500) and Ga at (0.241, 0.250, 0.625).

For the energy above the lowest structure with this stoichiometry, the calculation gives 357.7 meV/atom. The final energy is -5.743 eV/atom. The calculation puts the energy relative to the elements at 9 kJ/mol of formula units.



Entry 2:
First-principles (PBE) data for a relaxed PuIn5Hg6 crystal, as listed in the Alexandria database.

The space group is P2/m (No. 10) and the conventional cell measures 4.913, 8.241 and 7.923 Å, with angles of 90.00, 105.07 and 90.00 degrees. Symmetry generates all atoms from Pu at (0.000, 0.000, 0.000), In at (0.000, 0.500, 0.000), In at (0.329, 0.500, 0.655), In at (0.346, 0.000, 0.675), Hg at (0.162, 0.246, 0.335) and Hg at (0.500, 0.263, 0.000).

The final energy is -2.527 eV/atom. The calculation puts the energy relative to the elements at -47 kJ/mol of formula units.



Entry 3:
First-principles (PBE) data for a relaxed Al5Pt2 crystal, as listed in the Alexandria database.

The space group is C2/c (No. 15) and the conventional cell measures 13.628, 4.945 and 7.102 Å, with angles of 90.00, 102.60 and 90.00 degrees. Symmetry generates all atoms from Al at (0.000, 0.133, 0.250), Al at (0.085, 0.332, 0.930), Al at (0.216, 0.104, 0.325) and Pt at (0.111, 0.201, 0.579).

The final energy is -5.102 eV/atom. The calculation puts the energy relative to the elements at -475 kJ/mol of formula units.



Entry 4:
First-principles (PBE) data for a relaxed Hf2RuN2 crystal, as listed in the Alexandria database.

The space group is I4/mmm (No. 139) and the conventional cell measures 3.760, 3.760 and 10.715 Å, with angles of 90.00, 90.00 and 90.00 degrees. Symmetry generates all atoms from Hf at (0.000, 0.000, 0.162), Ru at (0.000, 0.000, 0.500) and N at (0.000, 0.500, 0.250).

For the energy above the lowest structure with this stoichiometry, the calculation gives 230.9 meV/atom. The final energy is -9.774 eV/atom. The formation energy without anion corrections is -0.61 eV/atom.